The following is a GGA+U calculation of an optimized crystal structure of Cs2PrMoO6, from Alexandria.

The calculation puts the density of states at the Fermi level at 1.9 states/eV/f.u. The total energy comes out at -61.75 eV for the cell shown.

The space group is P-3m1 (No. 164) and the conventional cell measures 6.8611, 6.8611 and 6.1322 Å, with angles of 90.00, 90.00 and 120.00 degrees. Symmetry generates all atoms from Cs at (0.3333, 0.6667, 0.1066), Pr at (0.0000, 0.0000, 0.5000), Mo at (0.0000, 0.0000, 0.0000) and O at (0.1295, 0.2591, 0.8033).